Record 1
# NaMg3In2 GGA-PBE optimized geometry
data_NaMg3In2
_space_group_name_H-M_alt 'C m m m'
_space_group_IT_number 65
_space_group_name_Hall '-C 2 2'
_cell_length_a 5.043
_cell_length_b 15.163
_cell_length_c 3.838
_cell_angle_alpha 90.00
_cell_angle_beta 90.00
_cell_angle_gamma 90.00
loop_
_atom_site_label
_atom_site_type_symbol
_atom_site_fract_x
_atom_site_fract_y
_atom_site_fract_z
Na1 Na 0.000 0.000 0.000
Mg1 Mg 0.000 0.177 0.500
Mg2 Mg 0.000 0.500 0.500
In1 In 0.000 0.342 0.000
# Energy of formation from the pure elements: -0.021 eV/atom
# Distance to the lowest polymorph of the same formula: 29 meV per atom
# Total DFT energy (no corrections): -1.95 eV/atom



Record 2
# NaMgIn4 GGA-PBE optimized geometry
data_NaMgIn4
_space_group_name_H-M_alt 'C m c m'
_space_group_IT_number 63
_space_group_name_Hall '-C 2c 2'
_cell_length_a 5.129
_cell_length_b 15.803
_cell_length_c 8.223
_cell_angle_alpha 90.00
_cell_angle_beta 90.00
_cell_angle_gamma 90.00
loop_
_atom_site_label
_atom_site_type_symbol
_atom_site_fract_x
_atom_site_fract_y
_atom_site_fract_z
Na1 Na 0.000 0.126 0.250
Mg1 Mg 0.000 0.345 0.250
In1 In 0.000 0.065 0.750
In2 In 0.000 0.273 0.577
In3 In 0.000 0.500 0.000
# Energy of formation from the pure elements: 0.015 eV/atom
# Distance to the lowest polymorph of the same formula: 73 meV per atom
# Total DFT energy (no corrections): -2.30 eV/atom



Record 3
# NaMgIn GGA-PBE optimized geometry
data_NaMgIn
_space_group_name_H-M_alt 'P 3 m 1'
_space_group_IT_number 156
_cell_length_a 5.1439
_cell_length_b 5.1439
_cell_length_c 3.4342
_cell_angle_alpha 90.00
_cell_angle_beta 90.00
_cell_angle_gamma 120.00
loop_
_space_group_symop_operation_xyz
'x,y,z'
'-y,x-y,z'
'-x+y,-x,z'
'-y,-x,z'
'-x+y,y,z'
'x,x-y,z'
loop_
_atom_site_label
_atom_site_type_symbol
_atom_site_fract_x
_atom_site_fract_y
_atom_site_fract_z
Na1 Na 0.0000 0.0000 0.0000
Mg1 Mg 0.3333 0.6667 0.5133
In1 In 0.6667 0.3333 0.4848
# Energy of formation from the pure elements: -0.054 eV/atom
# Distance to the lowest polymorph of the same formula: 3 meV per atom
# Total DFT energy (no corrections): -1.94 eV/atom



Record 4
# Na3Mg2In5 GGA-PBE optimized geometry
data_Na3Mg2In5
_space_group_name_H-M_alt 'I b a m'
_space_group_IT_number 72
_space_group_name_Hall '-I 2 2c'
_cell_length_a 13.174
_cell_length_b 13.881
_cell_length_c 6.487
_cell_angle_alpha 90.00
_cell_angle_beta 90.00
_cell_angle_gamma 90.00
loop_
_atom_site_label
_atom_site_type_symbol
_atom_site_fract_x
_atom_site_fract_y
_atom_site_fract_z
Na1 Na 0.000 0.000 0.250
Na2 Na 0.103 0.270 0.000
Mg1 Mg 0.149 0.156 0.500
In1 In 0.000 0.500 0.250
In2 In 0.135 0.360 0.500
In3 In 0.240 0.000 0.250
# Energy of formation from the pure elements: 0.016 eV/atom
# Total DFT energy (no corrections): -2.07 eV/atom